The following is a DFT calculation (GGA-PBE) of NpVMo after structural relaxation. Values from VASP.

Results
Its total energy is -31.9 eV per cell. The value obtained for the volume is 51.85 Å³ per cell. Its theoretical density is 12.29 g cm⁻³. The calculation puts the relative energy among the computed polymorphs at 2.1 kJ per mole of atoms.

Quantum ESPRESSO input file:
```
&SYSTEM
  ibrav = 0, nat = 3, ntyp = 3
/
ATOMIC_SPECIES
Np 237.00 Np.upf
Mo 95.94 Mo.upf
V 50.94 V.upf
ATOMIC_POSITIONS crystal
Np 0.000 0.000 0.000
Mo 0.316 0.316 0.633
V 0.683 0.683 0.367
CELL_PARAMETERS angstrom
3.117 0.000 0.000
0.000 3.117 0.000
-1.559 -1.559 5.337
```